CeUGa2 | GGA-PBE | optimized geometry

## Properties
The calculated density is 10335 kg/m³. The calculation puts the total energy at -24.332 eV/cell. The total magnetization comes out at 1.7 μB per formula unit. For the energy relative to the elements, the calculation gives -0.264 eV per atom.

a b c (Å): 3.0306 3.0306 9.0542
angles (deg): 90.00 90.00 90.00
With the nearest neighbours (Å) after each atom.
Space group P4/mmm (No. 123)
One atom of each set of equivalent atoms:
Ce 0.0000 0.0000 0.0000 x1  4 Ce 3.03, 8 Ga 3.15
U 0.0000 0.0000 0.5000 x1  4 U 3.03, 8 Ga 3.09
Ga 0.5000 0.5000 0.2548 x2  4 Ga 3.03, 4 U 3.09, 4 Ce 3.15

***

TbPu2Pa | GGA-PBE | optimized geometry

## Properties
The calculated density is 13689 kg/m³. The calculation puts the total energy at -126.471 eV/cell. The total magnetization comes out at 11.2 μB per formula unit. For the energy relative to the elements, the calculation gives 0.158 eV per atom.

a b c (Å): 3.3711 3.3711 32.4638
angles (deg): 90.00 90.00 120.00
With the nearest neighbours (Å) after each atom.
Space group R-3m (No. 166, hexagonal axes)
One atom of each set of equivalent atoms:
Tb 0.0000 0.0000 0.0000 x3  6 Tb 3.37, 6 Pu 3.49
Pu 0.0000 0.0000 0.2441 x6  3 Pa 3.18, 6 Pu 3.37, 3 Tb 3.49
Pa 0.0000 0.0000 0.5000 x3  6 Pu 3.18, 6 Pa 3.37

***

NbCu2N | GGA-PBE | optimized geometry

## Properties
The calculated density is 7755 kg/m³. The calculation puts the total energy at -102.577 eV/cell. The formation energy from raw total energies is 91 kJ/mol of formula units. The total magnetization comes out at 0.0 μB per formula unit.

a b c (Å): 6.8599 6.8599 4.2591
angles (deg): 90.00 90.00 90.00
With the nearest neighbours (Å) after each atom.
Space group I-42d (No. 122)
One atom of each set of equivalent atoms:
Nb 0.0000 0.0000 0.0000 x4  2 N 2.13
Cu 0.1698 0.7500 0.6250 x8  2 N 2.14, 2 Cu 2.40
N 0.0000 0.0000 0.5000 x4  2 Nb 2.13, 4 Cu 2.14

***

InGa2Hg6 | GGA-PBE | optimized geometry

## Properties
The calculated density is 10500 kg/m³. The calculation puts the total energy at -20.344 eV/cell. The total magnetization comes out at 0.0 μB per formula unit. For the energy relative to the elements, the calculation gives 0.048 eV per atom.

a b c (Å): 5.6780 13.1903 6.2347
angles (deg): 90.00 99.07 90.00
With the nearest neighbours (Å) after each atom.
Space group C2/m (No. 12)
One atom of each set of equivalent atoms:
In 0.0000 0.0000 0.0000 x2  6 Hg 3.02-3.07
Ga 0.0000 0.1705 0.5000 x4  6 Hg 2.92-2.96
Hg 0.1622 0.3282 0.8165 x8  2 Ga 2.92-2.96, 1 In 3.07, 3 Hg 3.08-3.16
Hg 0.1881 0.5000 0.3492 x4  2 Ga 2.92, 1 In 3.02, 3 Hg 3.06-3.08

***

Sr2Zn5Au3 | GGA-PBE | optimized geometry

## Properties
The calculated density is 8412 kg/m³. The calculation puts the total energy at -23.380 eV/cell. The total magnetization comes out at 0.0 μB per formula unit. For the energy relative to the elements, the calculation gives -0.381 eV per atom.

a b c (Å): 4.2084 4.2084 12.1843
angles (deg): 90.00 90.00 90.00
With the nearest neighbours (Å) after each atom.
Space group P-4m2 (No. 115)
One atom of each set of equivalent atoms:
Sr 0.0000 0.5000 0.2454 x2  4 Au 3.21, 4 Zn 3.30
Zn 0.0000 0.0000 0.0000 x1  4 Zn 2.62
Zn 0.0000 0.0000 0.5000 x1  8 Au 2.84-2.98
Zn 0.0000 0.5000 0.8724 x2  4 Zn 2.62, 1 Au 2.63
Zn 0.5000 0.5000 0.0000 x1  4 Zn 2.62
Au 0.0000 0.5000 0.6563 x2  3 Zn 2.63-2.84, 2 Au 2.84
Au 0.5000 0.5000 0.5000 x1  4 Au 2.84, 4 Zn 2.98

***

TbHo5Er2Th | GGA-PBE | optimized geometry

## Properties
The calculated density is 8811 kg/m³. The calculation puts the total energy at -170.343 eV/cell. The total magnetization comes out at 0.0 μB per formula unit. For the energy relative to the elements, the calculation gives 0.164 eV per atom.

a b c (Å): 5.6653 21.3968 9.6399
angles (deg): 90.00 90.00 90.00
With the nearest neighbours (Å) after each atom.
Space group Cmc2_1 (No. 36)
One atom of each set of equivalent atoms:
Tb 0.0000 0.1900 0.0000 x4  2 Er 3.23-3.40, 5 Ho 3.42-3.49
Ho 0.0000 0.0142 0.0007 x4  3 Er 3.32-3.71, 2 Th 3.44, 2 Ho 3.58
Ho 0.0000 0.2717 0.3058 x4  1 Th 3.02, 1 Er 3.34
Ho 0.0000 0.3046 0.6986 x4  3 Tb 3.42-3.80, 4 Ho 3.43-3.72, 3 Er 3.48-3.75, 1 Th 3.57
Ho 0.0000 0.3983 0.0237 x4  2 Ho 3.26-3.44, 4 Er 3.33-3.50
Ho 0.0000 0.4686 0.7241 x4  2 Th 3.20-3.37, 5 Ho 3.26-3.58, 2 Er 3.46
Er 0.0000 0.1157 0.3123 x4  9 Ho 3.32-3.71, 1 Tb 3.40, 1 Er 3.69
Er 0.0000 0.1294 0.6937 x4  1 Tb 3.23, 3 Ho 3.33-3.59, 2 Th 3.56
Th 0.0000 0.4057 0.4040 x4  3 Ho 3.02-3.37